*a*
Below is a geometry-optimized Pm2Y4In structure, with properties calculated at the PBE level.

Geometry as POSCAR:
```
Pm2Y4In
1.0
5.684 0.000 0.000
0.000 6.746 0.000
-2.727 0.000 11.437
Pm Y In
4 8 2
Cartesian
-1.246 1.686 5.421
1.642 5.059 0.927
1.315 1.686 10.509
4.202 5.059 6.016
-1.273 0.038 8.979
-1.273 3.334 8.979
1.141 1.686 0.723
1.358 5.059 4.297
1.598 1.686 7.140
1.815 5.059 10.714
4.229 3.411 2.457
4.229 6.707 2.457
1.576 1.686 3.807
1.380 5.059 7.630
```

Space group: P2_1/m (11)

*b*
Below is a geometry-optimized Pm2Y4In structure, with properties calculated at the PBE level.

Geometry as POSCAR:
```
Pm2Y4In
1.0
6.315 0.000 0.000
0.000 10.724 0.000
-0.006 0.000 6.576
Pm Y In
4 8 2
Cartesian
1.536 0.441 3.284
1.533 4.921 6.572
4.776 5.804 0.004
4.773 10.283 3.292
0.442 1.657 6.573
0.445 3.705 3.285
2.535 8.043 1.644
2.532 8.044 4.932
3.777 2.681 1.644
3.774 2.681 4.932
5.864 7.019 3.291
5.867 9.067 0.003
3.158 0.000 0.000
3.155 5.362 3.288
```

Space group: P2_1/c (14)

Computed stability ranking, most favorable first: *b*, *a*

*a*
Below is a geometry-optimized Pm3Y2In2 structure, with properties calculated at the PBE level.

Geometry as POSCAR:
```
Pm3Y2In2
1.0
5.628 -2.328 0.000
5.628 2.328 0.000
-0.828 0.000 7.872
Pm Y In
3 2 2
Cartesian
0.000 0.000 0.000
2.302 0.000 6.659
8.128 0.000 1.213
1.170 0.000 3.371
9.259 0.000 4.501
4.611 0.000 2.296
5.818 0.000 5.576
```

Space group: C2/m (12)

*b*
Below is a geometry-optimized Pm3Y2In2 structure, with properties calculated at the PBE level.

Geometry as POSCAR:
```
Pm3Y2In2
1.0
2.468 -12.123 0.000
2.468 12.123 0.000
0.000 0.000 3.515
Pm Y In
3 2 2
Cartesian
0.000 0.000 0.000
2.468 8.735 0.000
2.468 -8.735 0.000
2.468 5.132 1.757
2.468 -5.132 1.757
2.468 1.719 1.757
2.468 -1.719 1.757
```

Space group: Cmmm (65)

Computed stability ranking, most favorable first: *a*, *b*

*a*
Below is a geometry-optimized Pm3Y6In structure, with properties calculated at the PBE level.

Geometry as POSCAR:
```
Pm3Y6In
1.0
9.768 0.000 0.000
0.000 5.625 0.000
-4.375 0.000 11.706
Pm Y In
6 12 2
Cartesian
-1.405 1.406 4.380
0.005 4.219 2.596
-1.619 1.406 11.408
7.012 4.219 0.298
5.387 1.406 9.109
6.798 4.219 7.326
-3.694 4.219 10.867
-1.005 1.406 7.846
0.367 4.219 5.992
2.064 1.406 3.546
-0.194 4.219 9.676
3.540 4.219 1.623
1.852 1.406 10.083
5.587 1.406 2.029
3.328 4.219 8.159
5.026 1.406 5.714
6.397 4.219 3.859
9.087 1.406 0.839
2.006 1.406 6.867
3.387 4.219 4.839
```

Space group: P2_1/m (11)

*b*
Below is a geometry-optimized Pm3Y6In structure, with properties calculated at the PBE level.

Geometry as POSCAR:
```
Pm3Y6In
1.0
5.369 -9.683 0.000
5.369 9.683 0.000
0.000 0.000 6.254
Pm Y In
6 12 2
Cartesian
5.369 7.632 3.127
3.596 2.284 5.328
3.596 -2.284 2.201
7.142 2.284 5.328
7.142 -2.284 2.201
5.369 -7.632 0.000
2.817 3.874 1.953
1.789 0.818 3.015
1.789 -0.818 6.142
5.369 5.474 0.494
5.369 1.175 2.161
2.817 -3.874 5.080
7.922 3.874 1.953
5.369 -1.175 5.288
5.369 -5.474 3.621
8.949 0.818 3.015
8.949 -0.818 6.142
7.922 -3.874 5.080
5.369 4.516 3.677
5.369 -4.516 0.550
```

Space group: Cmc2_1 (36)

Computed stability ranking, most favorable first: *a*, *b*

*a*
Below is a geometry-optimized Pm3YIn2 structure, with properties calculated at the PBE level.

Geometry as POSCAR:
```
Pm3YIn2
1.0
5.304 0.000 0.000
0.000 10.009 0.000
0.000 0.000 6.835
Pm Y In
6 2 4
Cartesian
0.000 0.365 0.000
0.000 3.251 2.321
0.000 6.759 5.739
0.000 9.644 3.418
2.652 1.803 4.964
2.652 8.206 1.547
2.652 4.618 0.423
2.652 5.391 3.841
0.000 3.569 5.613
0.000 6.440 2.195
2.652 1.466 1.674
2.652 8.543 5.092
```

Space group: Pmc2_1 (26)

*b*
Below is a geometry-optimized Pm3YIn2 structure, with properties calculated at the PBE level.

Geometry as POSCAR:
```
Pm3YIn2
1.0
8.174 -2.513 0.000
8.174 2.513 0.000
-4.931 0.000 8.973
Pm Y In
6 2 4
Cartesian
-1.111 0.000 3.242
1.659 0.000 5.593
4.397 0.000 2.913
7.020 0.000 6.060
9.758 0.000 3.380
12.528 0.000 5.731
1.581 0.000 0.654
9.836 0.000 8.319
-0.438 0.000 8.166
7.305 0.000 1.207
4.112 0.000 7.766
11.854 0.000 0.807
```

Space group: C2/m (12)

Computed stability ranking, most favorable first: *a*, *b*

*a*
Below is a geometry-optimized Pm5Y2In4 structure, with properties calculated at the PBE level.

Geometry as POSCAR:
```
Pm5Y2In4
1.0
-1.872 4.427 10.720
1.872 -4.427 10.720
1.872 4.427 -10.720
Pm Y In
5 2 4
Cartesian
0.000 0.000 0.000
1.872 1.834 -3.310
1.872 1.834 3.310
0.000 2.593 7.410
0.000 2.593 14.030
1.872 0.000 8.963
0.000 4.427 1.757
1.872 0.000 5.965
1.872 2.520 0.000
0.000 1.907 10.720
0.000 4.427 4.755
```

Space group: Immm (71)

*b*
Below is a geometry-optimized Pm5Y2In4 structure, with properties calculated at the PBE level.

Geometry as POSCAR:
```
Pm5Y2In4
1.0
8.777 0.000 0.000
0.000 3.445 0.000
-1.075 0.000 10.679
Pm Y In
5 2 4
Cartesian
0.000 0.000 0.000
-0.037 0.000 3.576
2.061 0.000 9.173
5.641 0.000 1.506
7.739 0.000 7.103
3.274 0.000 3.853
4.428 0.000 6.826
1.638 1.723 6.151
2.501 1.723 1.305
5.201 1.723 9.374
6.064 1.723 4.528
```

Space group: P2/m (10)

Computed stability ranking, most favorable first: *b*, *a*

*a*
Below is a geometry-optimized Pm6Y2In structure, with properties calculated at the PBE level.

Geometry as POSCAR:
```
Pm6Y2In
1.0
4.915 -8.502 0.000
4.915 8.502 0.000
0.000 0.000 3.464
Pm Y In
6 2 1
Cartesian
6.511 -5.735 0.000
3.319 5.735 0.000
3.183 0.000 0.000
6.511 5.735 0.000
3.319 -5.735 0.000
6.646 0.000 0.000
4.915 2.830 1.732
4.915 -2.830 1.732
0.000 0.000 1.732
```

Space group: Cmmm (65)

*b*
Below is a geometry-optimized Pm6Y2In structure, with properties calculated at the PBE level.

Geometry as POSCAR:
```
Pm6Y2In
1.0
10.756 -3.153 0.000
10.756 3.153 0.000
-3.061 0.000 8.616
Pm Y In
12 4 2
Cartesian
7.006 2.096 0.741
6.972 2.038 7.453
9.950 2.038 5.472
6.968 0.931 4.065
12.976 2.096 3.567
13.015 0.931 0.243
5.437 -0.931 8.373
5.476 -2.096 5.049
11.484 -0.931 4.551
8.502 -2.038 3.145
11.480 -2.038 1.164
11.446 -2.096 7.875
3.823 1.052 5.991
5.354 -1.052 1.683
13.098 1.052 6.933
14.629 -1.052 2.625
9.991 1.077 2.154
8.461 -1.077 6.462
```

Space group: C2/c (15)

Computed stability ranking, most favorable first: *b*, *a*